Entry 1:
Below is SrZnIn2Rh after structural relaxation, with properties calculated at the PBE-GGA level.

Output
The value obtained for the total energy is -3.4662 eV per atom. Its calculated formation energy is -0.309 eV/atom.

Structure (CIF):
```
data_SrZnIn2Rh
_chemical_formula_sum 'Sr1 Zn1 In2 Rh1'
_cell_length_a 5.1363
_cell_length_b 5.1363
_cell_length_c 4.9577
_cell_angle_alpha 90.00
_cell_angle_beta 90.00
_cell_angle_gamma 90.00
_symmetry_space_group_name_H-M 'P 4/m m m'
_symmetry_Int_Tables_number 123
_symmetry_space_group_name_Hall '-P 4 2'
loop_
_atom_site_label
_atom_site_type_symbol
_atom_site_fract_x
_atom_site_fract_y
_atom_site_fract_z
Sr1 Sr 0.0000 0.0000 0.0000
Zn1 Zn 0.5000 0.5000 0.0000
In1 In 0.0000 0.5000 0.5000
Rh1 Rh 0.5000 0.5000 0.5000
```


Entry 2:
Below is SrZnIn2Rh2 after structural relaxation, with properties calculated at the PBE-GGA level.

Output
The value obtained for the total energy is -4.1604 eV per atom. Its calculated formation energy is -0.304 eV/atom.

Structure (CIF):
```
data_SrZnIn2Rh2
_chemical_formula_sum 'Sr1 Zn1 In2 Rh2'
_cell_length_a 4.7383
_cell_length_b 4.7383
_cell_length_c 6.0735
_cell_angle_alpha 90.00
_cell_angle_beta 90.00
_cell_angle_gamma 90.00
_symmetry_space_group_name_H-M 'P 4/m m m'
_symmetry_Int_Tables_number 123
_symmetry_space_group_name_Hall '-P 4 2'
loop_
_atom_site_label
_atom_site_type_symbol
_atom_site_fract_x
_atom_site_fract_y
_atom_site_fract_z
Sr1 Sr 0.0000 0.0000 0.0000
Zn1 Zn 0.0000 0.0000 0.5000
In1 In 0.5000 0.5000 0.2467
Rh1 Rh 0.0000 0.5000 0.5000
```


Entry 3:
Below is SrZn2InRh after structural relaxation, with properties calculated at the PBE-GGA level.

Output
The value obtained for the total energy is -3.1633 eV per atom. Its calculated formation energy is -0.299 eV/atom.

Structure (CIF):
```
data_SrZn2InRh
_chemical_formula_sum 'Sr1 Zn2 In1 Rh1'
_cell_length_a 4.9147
_cell_length_b 4.9147
_cell_length_c 5.0769
_cell_angle_alpha 90.00
_cell_angle_beta 90.00
_cell_angle_gamma 90.00
_symmetry_space_group_name_H-M 'P 4/m m m'
_symmetry_Int_Tables_number 123
_symmetry_space_group_name_Hall '-P 4 2'
loop_
_atom_site_label
_atom_site_type_symbol
_atom_site_fract_x
_atom_site_fract_y
_atom_site_fract_z
Sr1 Sr 0.0000 0.0000 0.0000
Zn1 Zn 0.0000 0.5000 0.5000
In1 In 0.5000 0.5000 0.0000
Rh1 Rh 0.5000 0.5000 0.5000
```


Entry 4:
Below is SrZrIn2Rh after structural relaxation, with properties calculated at the PBE-GGA level.

Output
The value obtained for the total energy is -3.3569 eV per atom. Its calculated formation energy is 1.255 eV/atom.

Structure (CIF):
```
data_SrZrIn2Rh
_chemical_formula_sum 'Sr1 Zr1 In2 Rh1'
_cell_length_a 5.6421
_cell_length_b 5.6421
_cell_length_c 4.7944
_cell_angle_alpha 90.00
_cell_angle_beta 90.00
_cell_angle_gamma 90.00
_symmetry_space_group_name_H-M 'P 4/m m m'
_symmetry_Int_Tables_number 123
_symmetry_space_group_name_Hall '-P 4 2'
loop_
_atom_site_label
_atom_site_type_symbol
_atom_site_fract_x
_atom_site_fract_y
_atom_site_fract_z
Sr1 Sr 0.0000 0.0000 0.0000
Zr1 Zr 0.5000 0.5000 0.5000
In1 In 0.0000 0.5000 0.0000
Rh1 Rh 0.0000 0.0000 0.5000
```


Entry 5:
Below is TaIn2Rh2 after structural relaxation, with properties calculated at the PBE-GGA level.

Output
The value obtained for the total energy is -6.5722 eV per atom. Its calculated formation energy is -0.166 eV/atom.

Structure (CIF):
```
data_TaIn2Rh2
_chemical_formula_sum 'Ta2 In4 Rh4'
_cell_length_a 6.6991
_cell_length_b 6.6991
_cell_length_c 4.1377
_cell_angle_alpha 90.00
_cell_angle_beta 90.00
_cell_angle_gamma 90.00
_symmetry_space_group_name_H-M 'P 4/m b m'
_symmetry_Int_Tables_number 127
_symmetry_space_group_name_Hall '-P 4 2ab'
loop_
_atom_site_label
_atom_site_type_symbol
_atom_site_fract_x
_atom_site_fract_y
_atom_site_fract_z
Ta1 Ta 0.0000 0.0000 0.0000
In1 In 0.1660 0.3340 0.5000
Rh1 Rh 0.1406 0.6406 0.0000
```


Entry 6:
Below is TaIn4Rh5 after structural relaxation, with properties calculated at the PBE-GGA level.

Output
The value obtained for the total energy is -6.3814 eV per atom. Its calculated formation energy is -0.425 eV/atom.

Structure (CIF):
```
data_TaIn4Rh5
_chemical_formula_sum 'Ta1 In4 Rh5'
_cell_length_a 3.0679
_cell_length_b 3.0679
_cell_length_c 17.8308
_cell_angle_alpha 90.00
_cell_angle_beta 90.00
_cell_angle_gamma 90.00
_symmetry_space_group_name_H-M 'P 4/m m m'
_symmetry_Int_Tables_number 123
_symmetry_space_group_name_Hall '-P 4 2'
loop_
_atom_site_label
_atom_site_type_symbol
_atom_site_fract_x
_atom_site_fract_y
_atom_site_fract_z
Ta1 Ta 0.0000 0.0000 0.0000
In1 In 0.0000 0.0000 0.2020
In2 In 0.0000 0.0000 0.4009
Rh1 Rh 0.5000 0.5000 0.0967
Rh2 Rh 0.5000 0.5000 0.3011
Rh3 Rh 0.5000 0.5000 0.5000
```


Entry 7:
Below is Ta2InRh2 after structural relaxation, with properties calculated at the PBE-GGA level.

Output
The value obtained for the total energy is -8.5621 eV per atom. For the polymorph energy (0 for the lowest one), the calculation gives 0.000 eV per atom. Its calculated formation energy is -0.333 eV/atom.

Structure (CIF):
```
data_Ta2InRh2
_chemical_formula_sum 'Ta4 In2 Rh4'
_cell_length_a 7.6752
_cell_length_b 7.6752
_cell_length_c 2.9680
_cell_angle_alpha 90.00
_cell_angle_beta 90.00
_cell_angle_gamma 90.00
_symmetry_space_group_name_H-M 'P 4/m b m'
_symmetry_Int_Tables_number 127
_symmetry_space_group_name_Hall '-P 4 2ab'
loop_
_atom_site_label
_atom_site_type_symbol
_atom_site_fract_x
_atom_site_fract_y
_atom_site_fract_z
Ta1 Ta 0.1636 0.3364 0.0000
In1 In 0.0000 0.0000 0.5000
Rh1 Rh 0.1295 0.6295 0.5000
```


Entry 8:
Below is TaIn3Rh4 after structural relaxation, with properties calculated at the PBE-GGA level.

Output
The value obtained for the total energy is -6.6178 eV per atom. Its calculated formation energy is -0.434 eV/atom.

Structure (CIF):
```
data_TaIn3Rh4
_chemical_formula_sum 'Ta1 In3 Rh4'
_cell_length_a 3.0546
_cell_length_b 3.0546
_cell_length_c 14.3615
_cell_angle_alpha 90.00
_cell_angle_beta 90.00
_cell_angle_gamma 90.00
_symmetry_space_group_name_H-M 'P 4/m m m'
_symmetry_Int_Tables_number 123
_symmetry_space_group_name_Hall '-P 4 2'
loop_
_atom_site_label
_atom_site_type_symbol
_atom_site_fract_x
_atom_site_fract_y
_atom_site_fract_z
Ta1 Ta 0.0000 0.0000 0.0000
In1 In 0.0000 0.0000 0.2517
In2 In 0.0000 0.0000 0.5000
Rh1 Rh 0.5000 0.5000 0.1198
Rh2 Rh 0.5000 0.5000 0.3760
```


Entry 9:
Below is Ta4InRh after structural relaxation, with properties calculated at the PBE-GGA level.

Output
The value obtained for the total energy is -9.2957 eV per atom. Its calculated formation energy is 0.288 eV/atom.

Structure (CIF):
```
data_Ta4InRh
_chemical_formula_sum 'Ta16 In4 Rh4'
_cell_length_a 7.6864
_cell_length_b 7.6864
_cell_length_c 7.6864
_cell_angle_alpha 90.00
_cell_angle_beta 90.00
_cell_angle_gamma 90.00
_symmetry_space_group_name_H-M 'F -4 3 m'
_symmetry_Int_Tables_number 216
_symmetry_space_group_name_Hall 'F -4 2 3'
loop_
_atom_site_label
_atom_site_type_symbol
_atom_site_fract_x
_atom_site_fract_y
_atom_site_fract_z
Ta1 Ta 0.1242 0.1242 0.1242
In1 In 0.2500 0.2500 0.7500
Rh1 Rh 0.0000 0.0000 0.5000
```


Entry 10:
Below is Ta2InRh2 after structural relaxation, with properties calculated at the PBE-GGA level.

Output
The value obtained for the total energy is -8.3892 eV per atom. For the polymorph energy (0 for the lowest one), the calculation gives 0.173 eV per atom. Its calculated formation energy is -0.160 eV/atom.

Structure (CIF):
```
data_Ta2InRh2
_chemical_formula_sum 'Ta4 In2 Rh4'
_cell_length_a 7.8513
_cell_length_b 7.8513
_cell_length_c 2.9185
_cell_angle_alpha 90.00
_cell_angle_beta 90.00
_cell_angle_gamma 90.00
_symmetry_space_group_name_H-M 'P 4/m b m'
_symmetry_Int_Tables_number 127
_symmetry_space_group_name_Hall '-P 4 2ab'
loop_
_atom_site_label
_atom_site_type_symbol
_atom_site_fract_x
_atom_site_fract_y
_atom_site_fract_z
Ta1 Ta 0.1528 0.3472 0.0000
In1 In 0.0000 0.0000 0.0000
Rh1 Rh 0.1366 0.6366 0.5000
```


Entry 11:
Below is TaIn2Rh3 after structural relaxation, with properties calculated at the PBE-GGA level.

Output
The value obtained for the total energy is -7.0099 eV per atom. Its calculated formation energy is -0.446 eV/atom.

Structure (CIF):
```
data_TaIn2Rh3
_chemical_formula_sum 'Ta1 In2 Rh3'
_cell_length_a 3.0191
_cell_length_b 3.0191
_cell_length_c 10.9630
_cell_angle_alpha 90.00
_cell_angle_beta 90.00
_cell_angle_gamma 90.00
_symmetry_space_group_name_H-M 'P 4/m m m'
_symmetry_Int_Tables_number 123
_symmetry_space_group_name_Hall '-P 4 2'
loop_
_atom_site_label
_atom_site_type_symbol
_atom_site_fract_x
_atom_site_fract_y
_atom_site_fract_z
Ta1 Ta 0.0000 0.0000 0.0000
In1 In 0.0000 0.0000 0.3342
Rh1 Rh 0.5000 0.5000 0.1608
Rh2 Rh 0.5000 0.5000 0.5000
```


Entry 12:
Below is TaIn4Rh after structural relaxation, with properties calculated at the PBE-GGA level.

Output
The value obtained for the total energy is -4.2791 eV per atom. Its calculated formation energy is 0.747 eV/atom.

Structure (CIF):
```
data_TaIn4Rh
_chemical_formula_sum 'Ta4 In16 Rh4'
_cell_length_a 7.9865
_cell_length_b 7.9865
_cell_length_c 7.9865
_cell_angle_alpha 90.00
_cell_angle_beta 90.00
_cell_angle_gamma 90.00
_symmetry_space_group_name_H-M 'F -4 3 m'
_symmetry_Int_Tables_number 216
_symmetry_space_group_name_Hall 'F -4 2 3'
loop_
_atom_site_label
_atom_site_type_symbol
_atom_site_fract_x
_atom_site_fract_y
_atom_site_fract_z
Ta1 Ta 0.0000 0.0000 0.0000
In1 In 0.1250 0.1250 0.6250
Rh1 Rh 0.2500 0.2500 0.2500
```